VASP calculation (GGA-PBE) on Ca2TlF2 after structural relaxation.

POSCAR file:
```
Ca2TlF2
1.0
-1.5533 -3.4946 0.1326
1.4279 -0.7662 -3.4665
5.9930 -4.7059 1.3968
Tl Ca F
1 2 2
Direct
0.0000 0.0000 0.0000
0.3427 0.3427 0.3145
0.6573 0.6573 0.6855
0.7500 0.2500 0.5000
0.2500 0.7500 0.5000
```

Size of the total moment in μB/atom: 0.00
Formation energy (no corrections) in eV per atom: -2.45

VASP calculation (GGA-PBE) on Ca2TlF after structural relaxation.

POSCAR file:
```
Ca2TlF
1.0
-2.6235 -2.2096 -0.5475
2.2065 -2.2629 -1.4407
1.2887 -3.3054 7.1654
Ca Tl F
2 1 1
Direct
0.0000 0.0000 0.7710
0.0000 0.0000 0.2290
0.5000 0.5000 0.5000
0.5000 0.5000 0.0000
```

Size of the total moment in μB/atom: 0.00
Formation energy (no corrections) in eV per atom: -1.24

VASP calculation (GGA-PBE) on CaTl2F after structural relaxation.

POSCAR file:
```
CaTl2F
1.0
0.0000 3.7285 3.7285
3.7285 0.0000 3.7285
3.7285 3.7285 0.0000
F Tl Ca
1 2 1
Direct
0.0000 0.0000 0.0000
0.2500 0.2500 0.2500
0.7500 0.7500 0.7500
0.5000 0.5000 0.5000
```

Size of the total moment in μB/atom: 0.00
Formation energy (no corrections) in eV per atom: -0.59